The following is a DFT calculation (PBE) of a geometry-optimized DyTm2Tl9 structure.

Unit cell a=4.753 b=4.753 c=14.257 alpha=90.00 beta=90.00 gamma=90.00
Element x y z (fractional)
Tl 0.500 0.500 0.000
Tl 0.500 0.500 0.334
Tl 0.500 0.000 0.832
Tl 0.000 0.500 0.168
Tl 0.500 0.500 0.666
Tl 0.000 0.500 0.832
Tl 0.500 0.000 0.500
Tl 0.000 0.500 0.500
Tl 0.500 0.000 0.168
Tm 0.000 0.000 0.667
Tm 0.000 0.000 0.333
Dy 0.000 0.000 0.000

Formation energy, eV/atom: -0.198
Magnetization, μB/cell: 0.000



The following is a DFT calculation (PBE) of a geometry-optimized Dy3Tm2Tl structure.

Unit cell a=4.821 b=4.861 c=7.878 alpha=107.97 beta=90.00 gamma=90.00
Element x y z (fractional)
Tm 0.000 0.664 0.327
Tm 0.000 0.336 0.673
Tl 0.000 0.000 0.000
Dy 0.500 0.170 0.340
Dy 0.500 0.500 0.000
Dy 0.500 0.830 0.660

Formation energy, eV/atom: -0.111
Magnetization, μB/cell: 0.000



The following is a DFT calculation (PBE) of a geometry-optimized DyTm2Tl2 structure.

Unit cell a=5.211 b=6.578 c=10.452 alpha=66.66 beta=60.02 gamma=66.57
Element x y z (fractional)
Tl 0.093 0.727 0.043
Tl 0.088 0.728 0.549
Tl 0.912 0.272 0.451
Tl 0.907 0.273 0.957
Tm 0.291 0.135 0.142
Tm 0.709 0.865 0.858
Tm 0.501 0.501 0.248
Tm 0.499 0.499 0.752
Dy 0.288 0.132 0.646
Dy 0.712 0.868 0.354

Formation energy, eV/atom: -0.266
Magnetization, μB/cell: 0.000



The following is a DFT calculation (PBE) of a geometry-optimized Dy2TmTl structure.

Unit cell a=4.841 b=4.824 c=4.824 alpha=90.00 beta=90.00 gamma=90.00
Site moments in Bohr magnetons follow the coordinates.
Element x y z (fractional)
Dy 0.000 0.000 0.500  0.20
Dy 0.000 0.500 0.000  0.20
Tm 0.500 0.000 0.000  0.20
Tl 0.500 0.500 0.500  -0.01

Formation energy, eV/atom: -0.173
Magnetization, μB/cell: 0.721



The following is a DFT calculation (PBE) of a geometry-optimized DyTm6Tl structure.

Unit cell a=3.538 b=5.366 c=12.598 alpha=90.00 beta=98.07 gamma=90.00
Element x y z (fractional)
Tm 0.081 0.000 0.162
Tm 0.916 0.500 0.832
Tm 0.539 0.500 0.077
Tm 0.458 0.000 0.917
Tm 0.292 0.500 0.585
Tm 0.713 0.000 0.426
Dy 0.159 0.500 0.318
Tl 0.842 0.000 0.684

Formation energy, eV/atom: -0.058
Magnetization, μB/cell: 0.000



The following is a DFT calculation (PBE) of a geometry-optimized Dy3TmTl structure.

Unit cell a=4.800 b=4.791 c=12.800 alpha=90.00 beta=79.19 gamma=90.00
Element x y z (fractional)
Dy 0.275 0.750 0.098
Dy 0.373 0.250 0.902
Dy 0.575 0.250 0.499
Dy 0.772 0.250 0.105
Dy 0.876 0.750 0.895
Dy 0.074 0.750 0.501
Tl 0.672 0.750 0.304
Tl 0.976 0.250 0.696
Tm 0.174 0.250 0.300
Tm 0.474 0.750 0.700

Formation energy, eV/atom: -0.121
Magnetization, μB/cell: 0.000



The following is a DFT calculation (PBE) of a geometry-optimized Dy6Tm2Tl structure.

Unit cell a=6.349 b=9.420 c=9.420 alpha=92.74 beta=86.71 gamma=86.71
Element x y z (fractional)
Dy 0.923 0.529 0.673
Dy 0.423 0.673 0.529
Dy 0.077 0.689 0.037
Dy 0.903 0.813 0.408
Dy 0.423 0.963 0.311
Dy 0.577 0.037 0.689
Dy 0.577 0.327 0.471
Dy 0.097 0.187 0.592
Dy 0.077 0.471 0.327
Dy 0.923 0.311 0.963
Dy 0.597 0.592 0.187
Dy 0.403 0.408 0.813
Tm 0.943 0.138 0.263
Tm 0.057 0.862 0.737
Tm 0.557 0.737 0.862
Tm 0.443 0.263 0.138
Tl 0.750 0.983 0.017
Tl 0.250 0.017 0.983

Formation energy, eV/atom: 0.036
Magnetization, μB/cell: 0.002



The following is a DFT calculation (PBE) of a geometry-optimized Dy5Tm2Tl4 structure.

Unit cell a=3.453 b=8.635 c=15.027 alpha=106.70 beta=96.60 gamma=90.00
Element x y z (fractional)
Dy 0.799 0.602 0.598
Dy 0.500 0.000 0.000
Dy 0.799 0.997 0.598
Dy 0.201 0.398 0.402
Dy 0.201 0.003 0.402
Tl 0.697 0.697 0.394
Tl 0.000 0.681 0.000
Tl 0.000 0.319 0.000
Tl 0.303 0.303 0.606
Tm 0.097 0.097 0.194
Tm 0.903 0.903 0.806

Formation energy, eV/atom: 0.343
Magnetization, μB/cell: 0.000



The following is a DFT calculation (PBE) of a geometry-optimized DyTm6Tl6 structure.

Unit cell a=6.372 b=6.372 c=10.431 alpha=90.00 beta=90.00 gamma=120.00
Site moments in Bohr magnetons follow the coordinates.
Element x y z (fractional)
Tl 0.500 0.500 0.246  0.00
Tl 0.500 0.000 0.754  0.00
Tl 0.000 0.500 0.246  0.00
Tl 0.500 0.000 0.246  0.00
Tl 0.000 0.500 0.754  0.00
Tl 0.500 0.500 0.754  0.00
Tm 0.333 0.667 0.500  0.02
Tm 0.333 0.667 0.000  0.03
Tm 0.000 0.000 0.339  0.16
Tm 0.000 0.000 0.661  0.16
Tm 0.667 0.333 0.500  0.02
Tm 0.667 0.333 0.000  0.03
Dy 0.000 0.000 0.000  0.29

Formation energy, eV/atom: -0.139
Magnetization, μB/cell: 0.993



The following is a DFT calculation (PBE) of a geometry-optimized DyTm2Tl4 structure.

Unit cell a=4.904 b=6.448 c=6.577 alpha=83.72 beta=90.00 gamma=90.00
Element x y z (fractional)
Dy 0.000 0.072 0.072
Tm 0.500 0.827 0.445
Tm 0.500 0.316 0.698
Tl 0.000 0.572 0.327
Tl 0.500 0.833 0.916
Tl 0.500 0.310 0.227
Tl 0.000 0.571 0.814

Formation energy, eV/atom: -0.049
Magnetization, μB/cell: 0.000



The following is a DFT calculation (PBE) of a geometry-optimized DyTm2Tl structure.

Unit cell a=4.742 b=4.593 c=11.068 alpha=102.02 beta=90.00 gamma=90.00
Element x y z (fractional)
Tl 0.250 0.164 0.328
Tl 0.750 0.836 0.672
Tm 0.750 0.066 0.132
Tm 0.750 0.443 0.886
Tm 0.250 0.934 0.868
Tm 0.250 0.557 0.114
Dy 0.750 0.693 0.386
Dy 0.250 0.307 0.614

Formation energy, eV/atom: -0.136
Magnetization, μB/cell: 0.000



The following is a DFT calculation (PBE) of a geometry-optimized Dy3TmTl3 structure.

Unit cell a=5.243 b=9.358 c=9.358 alpha=120.00 beta=90.00 gamma=90.00
Element x y z (fractional)
Dy 0.250 0.996 0.765
Dy 0.250 0.235 0.232
Dy 0.750 0.232 0.996
Dy 0.750 0.765 0.768
Dy 0.750 0.004 0.235
Dy 0.250 0.768 0.004
Tl 0.250 0.073 0.451
Tl 0.750 0.927 0.549
Tl 0.750 0.622 0.073
Tl 0.750 0.451 0.378
Tl 0.250 0.549 0.622
Tl 0.250 0.378 0.927
Tm 0.250 0.667 0.333
Tm 0.750 0.333 0.667

Formation energy, eV/atom: -0.192
Magnetization, μB/cell: 0.000



DFT total energy, respectively: -3.102; -4.296; -3.922; -4.184; -4.283; -4.250; -4.289; -3.422; -3.649; -3.336; -4.113; -3.818 eV/atom.